Here is a relaxed structure of Sc5Pb2O from the Alexandria database. Energies are from PBE-GGA.

Calculated values
Its uncorrected formation energy is -752 kJ/mol of formula units. The value obtained for the density of states at the Fermi level is 0.9300 states/eV/atom. The calculated total energy is -6.479 eV/atom.

Cell lengths 8.1178, 6.2336, 13.3717 Å; angles 90.00, 90.00, 90.00 degrees
With the nearest neighbours (Å) after each atom.
Positions (direct):
Sc  0.0000  0.0000  0.0000  2 O 2.25
Sc  0.0000  0.5000  0.0000  2 O 2.25
Sc  0.0529  0.2500  0.2038  1 O 2.30
Sc  0.1326  0.5067  0.6028  1 O 2.25
Sc  0.1326  0.9933  0.6028  1 O 2.25
Sc  0.2243  0.7500  0.3911  1 O 2.27
Sc  0.2757  0.2500  0.8911  1 O 2.27
Sc  0.3674  0.0067  0.1028  1 O 2.25
Sc  0.3674  0.4933  0.1028  1 O 2.25
Sc  0.4471  0.7500  0.7038  1 O 2.30
Sc  0.5000  0.0000  0.5000  2 O 2.25
Sc  0.5000  0.5000  0.5000  2 O 2.25
Sc  0.5529  0.2500  0.2962  1 O 2.30
Sc  0.6325  0.5067  0.8972  1 O 2.25
Sc  0.6325  0.9933  0.8972  1 O 2.25
Sc  0.7243  0.7500  0.1089  1 O 2.27
Sc  0.7757  0.2500  0.6089  1 O 2.27
Sc  0.8674  0.0067  0.3972  1 O 2.25
Sc  0.8674  0.4933  0.3972  1 O 2.25
Sc  0.9471  0.7500  0.7962  1 O 2.30
Pb  0.0627  0.7500  0.1977  8 Sc 2.90-3.21
Pb  0.2079  0.2500  0.4070  10 Sc 2.99-3.17
Pb  0.2921  0.7500  0.9070  10 Sc 2.99-3.17
Pb  0.4373  0.2500  0.6977  8 Sc 2.90-3.21
Pb  0.5627  0.7500  0.3023  8 Sc 2.90-3.21
Pb  0.7079  0.2500  0.0930  10 Sc 2.99-3.17
Pb  0.7921  0.7500  0.5930  10 Sc 2.99-3.17
Pb  0.9373  0.2500  0.8023  8 Sc 2.90-3.21
O  0.1809  0.2500  0.0506  6 Sc 2.25-2.30
O  0.3191  0.7500  0.5506  6 Sc 2.25-2.30
O  0.6809  0.2500  0.4494  6 Sc 2.25-2.30
O  0.8191  0.7500  0.9494  6 Sc 2.25-2.30

Here is a relaxed structure of TaHg2As from the Alexandria database. Energies are from PBE-GGA.

Calculated values
The formation energy comes out at 0.517 eV/atom. The value obtained for the density of states at the Fermi level is 0.7565 states/eV/atom. The calculated total energy is -3.759 eV/atom.

Cell lengths 3.8724, 3.8724, 5.4594 Å; angles 90.00, 90.00, 90.00 degrees
With the nearest neighbours (Å) after each atom.
Positions (direct):
Ta  0.0000  0.0000  0.0000  2 As 2.73, 8 Hg 3.05
Hg  0.5000  0.5000  0.2476  2 Hg 2.70-2.76
Hg  0.5000  0.5000  0.7524  2 Hg 2.70-2.76
As  0.0000  0.0000  0.5000  2 Ta 2.73

Here is a relaxed structure of LaNd12Ho2 from the Alexandria database. Energies are from PBE-GGA.

Calculated values
The formation energy comes out at 0.297 eV/atom. The value obtained for the density of states at the Fermi level is 1.2064 states/eV/atom. The calculated total energy is -4.456 eV/atom.

Cell lengths 6.5612, 6.5612, 25.8181 Å; angles 90.00, 90.00, 90.00 degrees
With the nearest neighbours (Å) after each atom.
Positions (direct):
La  0.2500  0.7500  0.0000  4 Nd 3.46
La  0.7500  0.2500  0.0000  4 Nd 3.46
Nd  0.0681  0.5681  0.1170  7 Nd 3.38-3.54, 1 La 3.46
Nd  0.0681  0.9319  0.8830  7 Nd 3.38-3.54, 1 La 3.46
Nd  0.0816  0.5816  0.4381  5 Nd 3.13-3.45
Nd  0.0816  0.9184  0.5619  5 Nd 3.13-3.45
Nd  0.2500  0.2500  0.2176  1 Nd 3.12
Nd  0.2500  0.2500  0.3384  1 Nd 3.12
Nd  0.2500  0.2500  0.6616  1 Nd 3.12
Nd  0.2500  0.2500  0.7824  1 Nd 3.12
Nd  0.4184  0.5816  0.5619  5 Nd 3.13-3.45
Nd  0.4184  0.9184  0.4381  5 Nd 3.13-3.45
Nd  0.4319  0.5681  0.8830  7 Nd 3.38-3.54, 1 La 3.46
Nd  0.4319  0.9319  0.1170  7 Nd 3.38-3.54, 1 La 3.46
Nd  0.5681  0.0681  0.8830  7 Nd 3.38-3.54, 1 La 3.46
Nd  0.5681  0.4319  0.1170  7 Nd 3.38-3.54, 1 La 3.46
Nd  0.5816  0.0816  0.5619  5 Nd 3.13-3.45
Nd  0.5816  0.4184  0.4381  5 Nd 3.13-3.45
Nd  0.7500  0.7500  0.2176  1 Nd 3.12
Nd  0.7500  0.7500  0.3384  1 Nd 3.12
Nd  0.7500  0.7500  0.6616  1 Nd 3.12
Nd  0.7500  0.7500  0.7824  1 Nd 3.12
Nd  0.9184  0.0816  0.4381  5 Nd 3.13-3.45
Nd  0.9184  0.4184  0.5619  5 Nd 3.13-3.45
Nd  0.9319  0.0681  0.1170  7 Nd 3.38-3.54, 1 La 3.46
Nd  0.9319  0.4319  0.8830  7 Nd 3.38-3.54, 1 La 3.46
Ho  0.2500  0.7500  0.2750  8 Nd 3.60-3.67
Ho  0.2500  0.7500  0.7250  8 Nd 3.60-3.67
Ho  0.7500  0.2500  0.2750  8 Nd 3.60-3.67
Ho  0.7500  0.2500  0.7250  8 Nd 3.60-3.67

Here is a relaxed structure of LiTmGa from the Alexandria database. Energies are from PBE-GGA.

Calculated values
For the polymorph energy (0 for the lowest one), the calculation gives 0.094 eV per atom. The formation energy comes out at -0.302 eV/atom. The value obtained for the density of states at the Fermi level is 0.7375 states/eV/atom. The calculated total energy is -3.440 eV/atom.

Cell lengths 4.4446, 3.4576, 8.4330 Å; angles 90.00, 90.00, 90.00 degrees
With the nearest neighbours (Å) after each atom.
Positions (direct):
Li  0.2500  0.0000  0.0850  2 Li 2.64, 1 Ga 2.73
Li  0.7500  0.0000  0.9150  2 Li 2.64, 1 Ga 2.73
Tm  0.2500  0.5000  0.7119  6 Ga 2.99-3.09, 4 Li 3.30
Tm  0.7500  0.5000  0.2881  6 Ga 2.99-3.09, 4 Li 3.30
Ga  0.2500  0.0000  0.4087  2 Ga 2.70, 1 Li 2.73, 4 Tm 2.99
Ga  0.7500  0.0000  0.5913  2 Ga 2.70, 1 Li 2.73, 4 Tm 2.99

Here is a relaxed structure of ZrOsN2F from the Alexandria database. Energies are from PBE-GGA.

Calculated values
Its uncorrected formation energy is 244 kJ/mol of formula units. For the polymorph energy (0 for the lowest one), the calculation gives 0.470 eV per atom. The value obtained for the density of states at the Fermi level is 0.9100 states/eV/atom. The calculated total energy is -7.154 eV/atom.

Cell lengths 4.2916, 4.2916, 3.9870 Å; angles 90.00, 90.00, 90.00 degrees
With the nearest neighbours (Å) after each atom.
Positions (direct):
Zr  0.0000  0.0000  0.0000  2 F 1.99, 4 N 2.15
Os  0.5000  0.5000  0.5000  8 N 2.93, 4 F 3.03
N  0.0000  0.5000  0.0000  2 Zr 2.15
N  0.5000  0.0000  0.0000  2 Zr 2.15
F  0.0000  0.0000  0.5000  2 Zr 1.99

Here is a relaxed structure of HgH2I3 from the Alexandria database. Energies are from PBE-GGA.

Calculated values
The value obtained for the density of states at the Fermi level is 0.5034 states/eV/atom. The calculated total energy is -1.963 eV/atom.

Cell lengths 8.7774, 8.7774, 10.4056 Å; angles 112.11, 112.11, 38.43 degrees
With the nearest neighbours (Å) after each atom.
Positions (direct):
Hg  0.1111  0.8889  0.7500  2 I 2.88-2.90
Hg  0.8889  0.1111  0.2500  2 I 2.88-2.90
H  0.0812  0.3873  0.7214  1 I 1.67
H  0.3873  0.0812  0.2214  1 I 1.67
H  0.6127  0.9188  0.7786  1 I 1.67
H  0.9188  0.6127  0.2786  1 I 1.67
I  0.1347  0.2269  0.1009  1 H 1.67
I  0.2269  0.1347  0.6009  1 H 1.67
I  0.3911  0.6089  0.2500  2 Hg 2.88-2.90
I  0.6089  0.3911  0.7500  2 Hg 2.88-2.90
I  0.7731  0.8653  0.3991  1 H 1.67
I  0.8653  0.7731  0.8991  1 H 1.67

Here is a relaxed structure of SiSe from the Alexandria database. Energies are from PBE-GGA.

Calculated values
Its uncorrected formation energy is -29 kJ/mol of formula units. The value obtained for the density of states at the Fermi level is 0.0144 states/eV/atom. The calculated total energy is -4.602 eV/atom.

Cell lengths 7.4122, 7.4122, 4.2601 Å; angles 105.34, 105.34, 28.27 degrees
With the nearest neighbours (Å) after each atom.
Positions (direct):
Si  0.2246  0.2246  0.2901  3 Se 2.38-2.54, 2 Si 2.51
Si  0.7754  0.7754  0.7099  3 Se 2.38-2.54, 2 Si 2.51
Se  0.3645  0.3645  0.0955  3 Si 2.38-2.54
Se  0.6355  0.6355  0.9045  3 Si 2.38-2.54